No. 1
Nb2CoHOs after structural relaxation. Source: Alexandria, functional PBE.

Output
ΔE to the lowest computed polymorph ... 0.1064 eV per atom
Total magnetization ... 0.0 μB per formula unit
Crystal system ... tetragonal
Symmetry ... P4/mmm, No. 123
Energy ... -41.98 eV/f.u.

a b c (Å): 4.117 4.117 3.771
angles (deg): 90.00 90.00 90.00
Atoms (fractional coordinates):
1 Nb 0.000 0.500 0.000
2 Nb 0.500 0.000 0.000
3 Co 0.000 0.000 0.500
4 H 0.500 0.500 0.000
5 Os 0.500 0.500 0.500



No. 2
SrBiPb2C after structural relaxation. Source: Alexandria, functional PBE.

Output
Total magnetization ... 0.0 μB per formula unit
Crystal system ... tetragonal
DFT formation energy ... 5.4 eV per formula unit
Symmetry ... P4/mmm, No. 123
Energy ... -16.77 eV/f.u.

a b c (Å): 6.367 6.367 4.804
angles (deg): 90.00 90.00 90.00
Atoms (fractional coordinates):
1 Sr 0.000 0.000 0.000
2 Bi 0.500 0.500 0.500
3 Pb 0.000 0.500 0.500
4 Pb 0.500 0.000 0.500
5 C 0.500 0.500 0.000



No. 3
TcNiB after structural relaxation. Source: Alexandria, functional PBE.

Output
ΔE to the lowest computed polymorph ... 0.0903 eV per atom
Total magnetization ... 0.0 μB per formula unit
Crystal system ... monoclinic
DFT formation energy ... -0.6 eV per formula unit
Symmetry ... Cm, No. 8
Energy ... -23.45 eV/f.u.

a b c (Å): 4.506 4.506 6.108
angles (deg): 123.65 123.65 38.37
Atoms (fractional coordinates):
1 Tc 0.000 0.000 0.000
2 Tc 0.245 0.245 0.548
3 Ni 0.597 0.597 0.726
4 Ni 0.840 0.840 0.274
5 B 0.285 0.285 0.975
6 B 0.524 0.524 0.300